1.
TaAsIr2 | GGA-PBE | relaxed

abc: 2.9563 2.9563 7.1385
angles: 90.00 90.00 90.00
Element x y z (fractional)
Ir 0.5000 0.5000 0.2586
Ir 0.0000 0.0000 0.9746
As 0.5000 0.5000 0.7635
Ta 0.0000 0.0000 0.5033


2.
Ta2AsIr | GGA-PBE | relaxed

abc: 2.9177 2.9177 7.8473
angles: 90.00 90.00 90.00
Element x y z (fractional)
As 0.0000 0.0000 0.5165
Ir 0.5000 0.5000 0.7325
Ta 0.5000 0.5000 0.2681
Ta 0.0000 0.0000 0.9830


| no. | energy of formation from the pure elements (meV/atom) |
| --- | --- |
| 1 | -120 |
| 2 | -76 |